VASP calculation (PBE) on a geometry-optimized PmHo2Zn structure.

Values from the calculation:
Total magnetic moment in μB per formula unit: 0.0
Volume in Å³ per atom: 27.64

abc: 3.5705 3.5705 8.6731
angles: 90.00 90.00 90.00
Last column: nearest neighbours and their distance in Å.
Fractional coordinates of all 4 atoms:
Pm 0.5000 0.5000 0.5000  4 Pm 3.57, 8 Ho 3.61
Ho 0.0000 0.0000 0.2028  4 Zn 3.08
Zn 0.5000 0.5000 0.0000  8 Ho 3.08
Ho 0.0000 0.0000 0.7972  4 Zn 3.08

---

VASP calculation (PBE) on a geometry-optimized Pm9Ho4Zn11 structure.

Values from the calculation:
Total magnetic moment in μB per formula unit: 0.0
Volume in Å³ per atom: 24.52

abc: 3.5140 13.3424 13.3424
angles: 109.81 90.00 90.00
Last column: nearest neighbours and their distance in Å.
Fractional coordinates of all 24 atoms:
Ho 0.5000 0.2491 0.4319  6 Zn 3.04-3.15, 3 Pm 3.16-3.39
Pm 0.5000 0.3745 0.8562  8 Zn 3.11-3.43, 1 Ho 3.33
Pm 0.5000 0.1438 0.6255  8 Zn 3.11-3.43, 1 Ho 3.33
Pm 0.5000 0.7934 0.9671  8 Zn 3.12-3.23, 1 Ho 3.39
Pm 0.5000 0.0329 0.2066  8 Zn 3.12-3.23, 1 Ho 3.39
Pm 0.4999 0.5000 0.5000  4 Ho 3.16, 4 Zn 3.40, 2 Pm 3.51
Zn 0.0000 0.3669 0.6331  4 Ho 3.15, 6 Pm 3.40-3.43, 2 Zn 3.51
Ho 0.5000 0.7509 0.5681  6 Zn 3.04-3.15, 3 Pm 3.16-3.39
Ho 0.5000 0.5681 0.7509  6 Zn 3.04-3.15, 3 Pm 3.16-3.39
Zn 0.0000 0.5829 0.9412  2 Ho 3.04, 6 Pm 3.11-3.23, 1 Zn 3.11
Pm 0.5000 0.2066 0.0329  8 Zn 3.12-3.23, 1 Ho 3.39
Zn 0.0000 0.6331 0.3669  4 Ho 3.15, 6 Pm 3.40-3.43, 2 Zn 3.51
Pm 0.5000 0.8562 0.3745  8 Zn 3.11-3.43, 1 Ho 3.33
Ho 0.5000 0.4319 0.2491  6 Zn 3.04-3.15, 3 Pm 3.16-3.39
Zn 0.0000 0.0588 0.4171  2 Ho 3.04, 6 Pm 3.11-3.23, 1 Zn 3.11
Zn 0.0000 0.2438 0.2438  4 Ho 3.04, 4 Pm 3.21
Pm 0.5000 0.6255 0.1438  8 Zn 3.11-3.43, 1 Ho 3.33
Zn 0.0000 0.7562 0.7562  4 Ho 3.04, 4 Pm 3.21
Zn 0.0000 0.0000 0.0000  8 Pm 3.17, 2 Zn 3.51
Zn 0.0000 0.9412 0.5829  2 Ho 3.04, 6 Pm 3.11-3.23, 1 Zn 3.11
Pm 0.5000 0.9671 0.7934  8 Zn 3.12-3.23, 1 Ho 3.39
Zn 0.0000 0.8304 0.1696  8 Pm 3.12-3.17
Zn 0.0000 0.4171 0.0588  2 Ho 3.04, 6 Pm 3.11-3.23, 1 Zn 3.11
Zn 0.0000 0.1696 0.8304  8 Pm 3.12-3.17

---

VASP calculation (PBE) on a geometry-optimized PmHoZn2 structure.

Values from the calculation:
Total magnetic moment in μB per formula unit: 0.0
Volume in Å³ per atom: 23.42

abc: 3.5878 3.5878 7.2776
angles: 90.00 90.00 90.00
Last column: nearest neighbours and their distance in Å.
Fractional coordinates of all 4 atoms:
Zn 0.0000 0.0000 0.7667  4 Ho 3.05, 4 Pm 3.19, 1 Zn 3.40
Pm 0.5000 0.5000 0.5000  8 Zn 3.19
Ho 0.5000 0.5000 0.0000  8 Zn 3.05
Zn 0.0000 0.0000 0.2333  4 Ho 3.05, 4 Pm 3.19, 1 Zn 3.40

---

VASP calculation (PBE) on a geometry-optimized PmHo2Zr structure.

Values from the calculation:
Total magnetic moment in μB per formula unit: 0.0
Volume in Å³ per atom: 29.38

abc: 3.4686 3.4686 11.4543
angles: 81.29 81.29 60.00
Last column: nearest neighbours and their distance in Å.
Fractional coordinates of all 4 atoms:
Zr 0.6665 0.6665 0.0004  6 Ho 3.30, 6 Zr 3.47
Ho 0.2558 0.2558 0.2325  3 Zr 3.30, 6 Ho 3.47, 3 Pm 3.61
Ho 0.0774 0.0774 0.7678  3 Zr 3.30, 6 Ho 3.47, 3 Pm 3.63
Pm 0.5003 0.5003 0.4992  6 Pm 3.47, 6 Ho 3.61-3.63

---

VASP calculation (PBE) on a geometry-optimized PmHo2Zr structure.

Values from the calculation:
Total magnetic moment in μB per formula unit: 0.0
Volume in Å³ per atom: 29.61

abc: 4.0086 4.0086 7.3697
angles: 90.00 90.00 90.00
Last column: nearest neighbours and their distance in Å.
Fractional coordinates of all 4 atoms:
Pm 0.5000 0.5000 0.0000  8 Ho 3.50, 2 Zr 3.68
Ho 0.0000 0.0000 0.7204  1 Ho 3.25, 4 Zr 3.27, 4 Pm 3.50
Zr 0.5000 0.5000 0.5000  8 Ho 3.27
Ho 0.0000 0.0000 0.2796  1 Ho 3.25, 4 Zr 3.27, 4 Pm 3.50

---

VASP calculation (PBE) on a geometry-optimized PmHo2Zr structure.

Values from the calculation:
Total magnetic moment in μB per formula unit: 0.0
Volume in Å³ per atom: 29.56

abc: 3.3668 3.3668 12.2008
angles: 82.07 82.07 60.00
Last column: nearest neighbours and their distance in Å.
Fractional coordinates of all 4 atoms:
Zr 0.0000 0.0000 0.0000  2 Ho 3.09, 6 Zr 3.37
Ho 0.9144 0.9144 0.2569  1 Zr 3.09, 6 Ho 3.37
Pm 0.5000 0.5000 0.5000  6 Pm 3.37, 6 Ho 3.51
Ho 0.0856 0.0856 0.7431  1 Zr 3.09, 6 Ho 3.37

---

VASP calculation (PBE) on a geometry-optimized Pm6Ho8Zr structure.

Values from the calculation:
Total magnetic moment in μB per formula unit: 0.0
Volume in Å³ per atom: 32.30

abc: 8.6030 8.6030 8.6030
angles: 63.43 63.43 63.43
Last column: nearest neighbours and their distance in Å.
Fractional coordinates of all 15 atoms:
Ho 0.1116 0.7200 0.7542  3 Pm 3.34-3.61, 5 Ho 3.40-3.47, 1 Zr 3.44
Ho 0.7542 0.1116 0.7200  3 Pm 3.34-3.61, 5 Ho 3.40-3.47, 1 Zr 3.44
Ho 0.7200 0.7542 0.1116  3 Pm 3.34-3.61, 5 Ho 3.40-3.47, 1 Zr 3.44
Pm 0.4572 0.7766 0.8945  4 Ho 3.34-3.61, 1 Zr 3.40, 4 Pm 3.55-3.73
Zr 0.0000 0.0000 0.0000  6 Pm 3.40, 6 Ho 3.44
Pm 0.5428 0.2234 0.1055  4 Ho 3.34-3.61, 1 Zr 3.40, 4 Pm 3.55-3.73
Ho 0.5767 0.5767 0.5767  4 Ho 3.15-3.42, 3 Pm 3.41
Pm 0.8945 0.4572 0.7766  4 Ho 3.34-3.61, 1 Zr 3.40, 4 Pm 3.55-3.73
Ho 0.2458 0.8884 0.2800  3 Pm 3.34-3.61, 5 Ho 3.40-3.47, 1 Zr 3.44
Pm 0.7766 0.8945 0.4572  4 Ho 3.34-3.61, 1 Zr 3.40, 4 Pm 3.55-3.73
Ho 0.8884 0.2800 0.2458  3 Pm 3.34-3.61, 5 Ho 3.40-3.47, 1 Zr 3.44
Ho 0.2800 0.2458 0.8884  3 Pm 3.34-3.61, 5 Ho 3.40-3.47, 1 Zr 3.44
Ho 0.4233 0.4233 0.4233  4 Ho 3.15-3.42, 3 Pm 3.41
Pm 0.1055 0.5428 0.2234  4 Ho 3.34-3.61, 1 Zr 3.40, 4 Pm 3.55-3.73
Pm 0.2234 0.1055 0.5428  4 Ho 3.34-3.61, 1 Zr 3.40, 4 Pm 3.55-3.73

---

VASP calculation (PBE) on a geometry-optimized Pm2Ho8Zr structure.

Values from the calculation:
Total magnetic moment in μB per formula unit: 0.0
Volume in Å³ per atom: 30.62

abc: 4.9550 7.8606 9.2934
angles: 104.57 105.46 90.00
Last column: nearest neighbours and their distance in Å.
Fractional coordinates of all 11 atoms:
Ho 0.6780 0.9091 0.3560  1 Zr 3.44, 8 Ho 3.47-3.65, 3 Pm 3.53-3.55
Ho 0.9563 0.2633 0.9126  9 Ho 3.37-3.64, 2 Zr 3.45, 1 Pm 3.56
Ho 0.0437 0.7367 0.0874  9 Ho 3.37-3.64, 2 Zr 3.45, 1 Pm 3.56
Ho 0.1306 0.1720 0.2612  7 Ho 3.37-3.65, 2 Zr 3.43, 3 Pm 3.60
Ho 0.5880 0.4425 0.1761  1 Zr 3.42, 8 Ho 3.46-3.62, 3 Pm 3.54-3.55
Zr 0.5000 0.0000 0.0000  12 Ho 3.42-3.45
Pm 0.7738 0.3649 0.5475  2 Pm 3.51, 10 Ho 3.53-3.60
Ho 0.3220 0.0909 0.6440  1 Zr 3.44, 8 Ho 3.47-3.65, 3 Pm 3.53-3.55
Ho 0.8694 0.8280 0.7388  7 Ho 3.37-3.65, 2 Zr 3.43, 3 Pm 3.60
Ho 0.4120 0.5575 0.8239  1 Zr 3.42, 8 Ho 3.46-3.62, 3 Pm 3.54-3.55
Pm 0.2262 0.6351 0.4525  2 Pm 3.51, 10 Ho 3.53-3.60

---

no.,formation energy (eV/atom)
1,-0.16
2,-0.24
3,-0.33
4,0.08
5,0.17
6,0.31
7,0.13
8,0.04